1.
This record from Alexandria via LeMat-Bulk describes a relaxed CaY2TlCo crystal. The functional is PBE.

* formation energy from the elements: -7.5 kJ/mol of atoms
* calculated total energy: -4.958 eV/atom
* energy above the most stable polymorph in this dataset: 0.0000 eV/atom
* total magnetization: 0.0 μB per formula unit

abc: 5.178 5.178 5.197
angles: 90.00 90.00 90.00
Element x y z (fractional)
Ca 0.000 0.000 0.000
Y 0.000 0.500 0.500
Y 0.500 0.000 0.500
Tl 0.500 0.500 0.000
Co 0.500 0.500 0.500

2.
This record from Alexandria via LeMat-Bulk describes a relaxed CaTm3Co crystal. The functional is PBE.

* formation energy from the elements: -7.1 kJ/mol of atoms
* calculated total energy: -4.578 eV/atom
* total magnetization: 0.0 μB per formula unit

abc: 5.252 5.252 5.252
angles: 90.00 90.00 90.00
Element x y z (fractional)
Ca 0.000 0.000 0.000
Tm 0.000 0.500 0.500
Tm 0.500 0.000 0.500
Tm 0.500 0.500 0.000
Co 0.500 0.500 0.500

3.
This record from Alexandria via LeMat-Bulk describes a relaxed CaTm2Co crystal. The functional is PBE.

* formation energy from the elements: 5.9 kJ/mol of atoms
* calculated total energy: -4.452 eV/atom
* energy above the most stable polymorph in this dataset: 0.1442 eV/atom
* total magnetization: 0.0 μB per formula unit

abc: 10.482 10.482 10.482
angles: 20.62 20.62 20.62
Element x y z (fractional)
Ca 0.000 0.000 0.000
Tm 0.120 0.120 0.120
Tm 0.880 0.880 0.880
Co 0.500 0.500 0.500

4.
This record from Alexandria via LeMat-Bulk describes a relaxed CaTm2Co crystal. The functional is PBE.

* formation energy from the elements: -8.0 kJ/mol of atoms
* calculated total energy: -4.596 eV/atom
* energy above the most stable polymorph in this dataset: 0.0000 eV/atom
* total magnetization: 0.5 μB per formula unit

abc: 3.364 3.364 9.336
angles: 90.00 90.00 90.00
Element x y z (fractional)
Ca 0.000 0.000 0.000
Tm 0.500 0.500 0.331
Tm 0.500 0.500 0.669
Co 0.000 0.000 0.500

5.
This record from Alexandria via LeMat-Bulk describes a relaxed CaTmCo4 crystal. The functional is PBE.

* formation energy from the elements: -6.9 kJ/mol of atoms
* calculated total energy: -5.888 eV/atom
* total magnetization: 4.7 μB per formula unit

abc: 5.065 5.065 5.065
angles: 60.00 60.00 60.00
Element x y z (fractional)
Ca 0.000 0.000 0.000
Tm 0.250 0.250 0.250
Co 0.127 0.624 0.624
Co 0.624 0.127 0.624
Co 0.624 0.624 0.127
Co 0.624 0.624 0.624

6.
This record from Alexandria via LeMat-Bulk describes a relaxed CaVCo3 crystal. The functional is PBE.

* formation energy from the elements: 54.6 kJ/mol of atoms
* calculated total energy: -5.921 eV/atom
* energy above the most stable polymorph in this dataset: 0.0000 eV/atom
* total magnetization: 0.0 μB per formula unit

abc: 4.327 4.327 4.327
angles: 90.00 90.00 90.00
Element x y z (fractional)
Ca 0.000 0.000 0.000
V 0.500 0.500 0.500
Co 0.000 0.500 0.500
Co 0.500 0.000 0.500
Co 0.500 0.500 0.000

7.
This record from Alexandria via LeMat-Bulk describes a relaxed CaV2Co2 crystal. The functional is PBE.

* formation energy from the elements: 3.4 kJ/mol of atoms
* calculated total energy: -6.855 eV/atom
* energy above the most stable polymorph in this dataset: 0.0000 eV/atom
* total magnetization: 0.0 μB per formula unit

abc: 5.622 5.622 5.622
angles: 137.72 137.72 61.33
Element x y z (fractional)
Ca 0.000 0.000 0.000
V 0.250 0.750 0.500
V 0.750 0.250 0.500
Co 0.372 0.372 0.000
Co 0.628 0.628 0.000

8.
This record from Alexandria via LeMat-Bulk describes a relaxed CaV2Co2 crystal. The functional is PBE.

* formation energy from the elements: 17.1 kJ/mol of atoms
* calculated total energy: -6.713 eV/atom
* energy above the most stable polymorph in this dataset: 0.1423 eV/atom
* total magnetization: 0.0 μB per formula unit

abc: 7.411 7.411 2.612
angles: 90.00 90.00 90.00
Element x y z (fractional)
Ca 0.000 0.000 0.000
Ca 0.500 0.500 0.000
V 0.140 0.360 0.000
V 0.360 0.860 0.000
V 0.640 0.140 0.000
V 0.860 0.640 0.000
Co 0.146 0.646 0.500
Co 0.354 0.146 0.500
Co 0.646 0.854 0.500
Co 0.854 0.354 0.500

9.
This record from Alexandria via LeMat-Bulk describes a relaxed CaVCo2 crystal. The functional is PBE.

* formation energy from the elements: 41.2 kJ/mol of atoms
* calculated total energy: -5.906 eV/atom
* energy above the most stable polymorph in this dataset: 0.0000 eV/atom
* total magnetization: 1.0 μB per formula unit

abc: 4.384 4.384 4.384
angles: 60.00 60.00 60.00
Element x y z (fractional)
Ca 0.000 0.000 0.000
V 0.500 0.500 0.500
Co 0.250 0.250 0.250
Co 0.750 0.750 0.750

10.
This record from Alexandria via LeMat-Bulk describes a relaxed CaV2Co2 crystal. The functional is PBE.

* formation energy from the elements: 21.4 kJ/mol of atoms
* calculated total energy: -6.668 eV/atom
* energy above the most stable polymorph in this dataset: 0.1870 eV/atom
* total magnetization: 0.0 μB per formula unit

abc: 7.397 7.397 2.676
angles: 90.00 90.00 90.00
Element x y z (fractional)
Ca 0.000 0.000 0.000
Ca 0.500 0.500 0.000
V 0.147 0.353 0.500
V 0.353 0.853 0.500
V 0.647 0.147 0.500
V 0.853 0.647 0.500
Co 0.135 0.635 0.000
Co 0.365 0.135 0.000
Co 0.635 0.865 0.000
Co 0.865 0.365 0.000

11.
This record from Alexandria via LeMat-Bulk describes a relaxed Ca2VCo crystal. The functional is PBE.

* formation energy from the elements: 67.8 kJ/mol of atoms
* calculated total energy: -4.355 eV/atom
* energy above the most stable polymorph in this dataset: 0.1330 eV/atom
* total magnetization: 3.9 μB per formula unit

abc: 5.046 5.046 5.046
angles: 60.00 60.00 60.00
Element x y z (fractional)
Ca 0.250 0.250 0.250
Ca 0.750 0.750 0.750
V 0.000 0.000 0.000
Co 0.500 0.500 0.500

12.
This record from Alexandria via LeMat-Bulk describes a relaxed Ca2VCo crystal. The functional is PBE.

* formation energy from the elements: 54.9 kJ/mol of atoms
* calculated total energy: -4.488 eV/atom
* energy above the most stable polymorph in this dataset: 0.0000 eV/atom
* total magnetization: 2.3 μB per formula unit

abc: 7.813 7.813 7.813
angles: 94.32 94.32 148.12
Element x y z (fractional)
Ca 0.375 0.203 0.328
Ca 0.797 0.125 0.172
Ca 0.875 0.047 0.672
Ca 0.953 0.625 0.828
V 0.250 0.750 0.500
V 0.500 0.500 0.000
Co 0.000 0.000 0.000
Co 0.750 0.250 0.500

Q: Which value of calculated total energy does entry 5 give?
A: -5.888 eV/atom